# PaInNi5 (GGA-PBE, optimized geometry)
# mass density	10.532	g cm⁻³
# D(E_F)	1.11	states/eV per atom
# E_form	-0.326	eV/atom
data_PaInNi5
_cell_length_a 8.085
_cell_length_b 4.843
_cell_length_c 10.296
_cell_angle_alpha 90.00
_cell_angle_beta 90.00
_cell_angle_gamma 90.00
_space_group_name_H-M_alt 'P n m a'
_space_group_IT_number 62
loop_
_space_group_symop_operation_xyz
'x,y,z'
'-x,-y,-z'
'-x+1/2,-y,z+1/2'
'x+1/2,y,-z+1/2'
'x+1/2,-y+1/2,-z+1/2'
'-x+1/2,y+1/2,z+1/2'
'-x,y+1/2,-z'
'x,-y+1/2,z'
loop_
_atom_site_label
_atom_site_type_symbol
_atom_site_fract_x
_atom_site_fract_y
_atom_site_fract_z
Pa1 Pa 0.241 0.250 0.059
In1 In 0.136 0.250 0.360
Ni1 Ni 0.050 0.250 0.602
Ni2 Ni 0.072 0.501 0.810
Ni3 Ni 0.084 0.750 0.016
Ni4 Ni 0.185 0.750 0.238

***

# LiMnCr2 (GGA-PBE, optimized geometry)
# mass density	5.585	g cm⁻³
# D(E_F)	1.07	states/eV per atom
# E_form	0.755	eV/atom
# ΔE to the lowest computed polymorph	11.75	kcal/mol of atoms
data_LiMnCr2
_cell_length_a 6.356
_cell_length_b 6.356
_cell_length_c 4.882
_cell_angle_alpha 90.00
_cell_angle_beta 90.00
_cell_angle_gamma 90.00
_space_group_name_H-M_alt 'I -4 2 d'
_space_group_IT_number 122
_space_group_name_Hall 'I -4 2bw'
loop_
_atom_site_label
_atom_site_type_symbol
_atom_site_fract_x
_atom_site_fract_y
_atom_site_fract_z
Li1 Li 0.000 0.000 0.000
Mn1 Mn 0.000 0.000 0.500
Cr1 Cr 0.217 0.750 0.625

***

# K4BePb (GGA-PBE, optimized geometry)
# mass density	2.404	g cm⁻³
# D(E_F)	0.65	states/eV per atom
# E_form	0.669	eV/atom
data_K4BePb
_cell_length_a 10.098
_cell_length_b 10.098
_cell_length_c 10.098
_cell_angle_alpha 90.00
_cell_angle_beta 90.00
_cell_angle_gamma 90.00
_space_group_name_H-M_alt 'F -4 3 m'
_space_group_IT_number 216
_space_group_name_Hall 'F -4 2 3'
loop_
_atom_site_label
_atom_site_type_symbol
_atom_site_fract_x
_atom_site_fract_y
_atom_site_fract_z
K1 K 0.125 0.125 0.125
Be1 Be 0.000 0.000 0.500
Pb1 Pb 0.250 0.250 0.750

***

Question: Which formula does entry 1 have?
Answer: PaInNi5

***

Question: Number 1 is which compound?
Answer: PaInNi5

***

Question: Among the records above, which one has the lowest E_form?
Answer: PaInNi5